Here is crystalline SiAg2Se at its relaxed geometry from Alexandria via LeMat-Bulk. Energies are from GGA-PBE.

N(E_F)   0.98 states/eV per cell
Space-group type   P2/m
Crystal system   monoclinic
Distance to the lowest polymorph of the same formula   146 meV/atom
Calculated density   7132 kg/m³
E_tot   -3.366 eV per atom
Total moment   0.0 μB per cell

Lattice parameters (Å, degrees): 2.941 4.022 6.355 90.00 90.31 90.00
Fractional coordinates of all 4 atoms:
1 Si 0.000 0.000 0.000
2 Ag 0.497 0.500 0.775
3 Ag 0.503 0.500 0.225
4 Se 0.000 0.000 0.500

Here is crystalline Si2AgSe at its relaxed geometry from Alexandria via LeMat-Bulk. Energies are from GGA-PBE.

N(E_F)   7.89 states/eV per cell
Space-group type   R-3m
Crystal system   trigonal
Calculated density   5494 kg/m³
E_tot   -3.802 eV per atom
Total moment   0.0 μB per cell

Lattice parameters (Å, degrees): 2.785 2.785 32.803 90.00 90.00 120.00
Fractional coordinates of all 12 atoms:
1 Si 0.000 0.000 0.240
2 Si 0.000 0.000 0.760
3 Si 0.333 0.667 0.427
4 Si 0.333 0.667 0.906
5 Si 0.667 0.333 0.094
6 Si 0.667 0.333 0.573
7 Ag 0.000 0.000 0.500
8 Ag 0.333 0.667 0.167
9 Ag 0.667 0.333 0.833
10 Se 0.000 0.000 0.000
11 Se 0.333 0.667 0.667
12 Se 0.667 0.333 0.333

Here is crystalline Si2AgSe at its relaxed geometry from Alexandria via LeMat-Bulk. Energies are from GGA-PBE.

N(E_F)   7.24 states/eV per cell
Space-group type   I-42d
Crystal system   tetragonal
Calculated density   4214 kg/m³
E_tot   -3.912 eV per atom
Total moment   0.0 μB per cell

Lattice parameters (Å, degrees): 5.848 5.848 11.201 90.00 90.00 90.00
Fractional coordinates of all 16 atoms:
1 Si 0.241 0.250 0.125
2 Si 0.250 0.741 0.375
3 Si 0.250 0.759 0.875
4 Si 0.259 0.250 0.625
5 Si 0.741 0.750 0.625
6 Si 0.750 0.241 0.875
7 Si 0.750 0.259 0.375
8 Si 0.759 0.750 0.125
9 Ag 0.000 0.000 0.000
10 Ag 0.000 0.500 0.250
11 Ag 0.500 0.000 0.750
12 Ag 0.500 0.500 0.500
13 Se 0.000 0.000 0.500
14 Se 0.000 0.500 0.750
15 Se 0.500 0.000 0.250
16 Se 0.500 0.500 0.000